Computed, not measured: a relaxed structure of SrBeP2 at the PBE-GGA level of DFT.

Unit cell a=4.9801 b=4.9801 c=7.7326 alpha=71.21 beta=71.21 gamma=90.00
Closest atoms and distances in Å follow each position.
Sites, in units of the cell vectors:
Sr  0.7500  0.2500  0.5000  8 P 3.10-3.46
Be  0.2500  0.7500  0.5000  4 P 2.14
P  0.3273  0.1250  0.2500  2 Be 2.14
P  0.4227  0.6250  0.2500  2 Be 2.14
P  0.8750  0.5773  0.7500  2 Be 2.14
Be  0.5000  0.5000  0.0000  4 P 2.14
P  0.3750  0.6727  0.7500  2 Be 2.14
Sr  0.0000  0.0000  0.0000  8 P 3.10-3.46

space-group type = No. 122

---

Computed, not measured: a relaxed structure of SrBe2P2 at the PBE-GGA level of DFT.

Unit cell a=3.6797 b=3.6797 c=6.7540 alpha=74.19 beta=74.19 gamma=90.00
Closest atoms and distances in Å follow each position.
Sites, in units of the cell vectors:
P  0.6486  0.6486  0.7029  4 Be 2.23
Be  0.2500  0.7500  0.5000  4 P 2.23
Be  0.7500  0.2500  0.5000  4 P 2.23
Sr  0.0000  0.0000  0.0000  8 P 3.19
P  0.3514  0.3514  0.2971  4 Be 2.23

space-group type = No. 139

---

Computed, not measured: a relaxed structure of SrBeP2 at the PBE-GGA level of DFT.

Unit cell a=5.4925 b=5.4925 c=5.4925 alpha=144.38 beta=123.07 gamma=68.99
Closest atoms and distances in Å follow each position.
Sites, in units of the cell vectors:
P  0.0122  0.0122  0.0000  2 Be 2.23, 2 P 2.45
P  0.8147  0.3147  0.5000  2 P 2.45
Sr  0.4991  0.4991  0.0000  4 Be 3.06-3.39, 8 P 3.10-3.31, 2 Sr 3.36
Be  0.1740  0.6740  0.5000  2 P 2.23

space-group type = No. 44

---

Computed, not measured: a relaxed structure of SrBeP2 at the PBE-GGA level of DFT.

Unit cell a=3.4027 b=3.4026 c=6.1407 alpha=90.00 beta=90.00 gamma=90.00
Closest atoms and distances in Å follow each position.
Sites, in units of the cell vectors:
P  0.0000  0.0000  0.5746  1 P 2.15
Be  0.5000  0.5000  0.7500  8 P 2.64
Sr  0.5000  0.5000  0.2500  2 Be 3.07, 8 P 3.12, 4 Sr 3.40
P  0.0000  0.0000  0.9254  1 P 2.15

space-group type = No. 123

---

Computed, not measured: a relaxed structure of SrBe3P3 at the PBE-GGA level of DFT.

Unit cell a=3.8184 b=8.7615 c=8.7606 alpha=120.00 beta=90.00 gamma=90.00
Closest atoms and distances in Å follow each position.
Sites, in units of the cell vectors:
Be  0.7500  0.6630  0.6083  3 P 2.17-2.25
P  0.2500  0.6084  0.6888  3 Be 2.17-2.25
Sr  0.2500  0.6667  0.3334  6 P 3.00, 9 Be 3.09-3.17
P  0.7500  0.3916  0.3112  3 Be 2.17-2.25
Sr  0.7500  0.3333  0.6666  6 P 3.00, 9 Be 3.09-3.17
P  0.2500  0.3112  0.9196  3 Be 2.17-2.25
P  0.7500  0.9196  0.6084  3 Be 2.17-2.25
Be  0.7500  0.9453  0.3371  3 P 2.17-2.25
P  0.7500  0.6888  0.0804  3 Be 2.17-2.25
Be  0.7500  0.3918  0.0547  3 P 2.17-2.25
P  0.2500  0.0804  0.3916  3 Be 2.17-2.25
Be  0.2500  0.3370  0.3917  3 P 2.17-2.25
Be  0.2500  0.6082  0.9453  3 P 2.17-2.25
Be  0.2500  0.0547  0.6629  3 P 2.17-2.25

space-group type = No. 176

---

Computed, not measured: a relaxed structure of SrBeP4 at the PBE-GGA level of DFT.

Unit cell a=5.4234 b=5.4234 c=5.4234 alpha=60.00 beta=60.00 gamma=60.00
Closest atoms and distances in Å follow each position.
Sites, in units of the cell vectors:
P  0.3587  0.3587  0.9238  3 P 2.36
P  0.3587  0.3587  0.3587  3 P 2.36
Be  0.0000  0.0000  0.0000  12 P 3.15, 4 Sr 3.32
Sr  0.7500  0.7500  0.7500  12 P 3.22, 4 Be 3.32
P  0.3587  0.9238  0.3587  3 P 2.36
P  0.9238  0.3587  0.3587  3 P 2.36

space-group type = No. 216

---

Computed, not measured: a relaxed structure of SrBeP2 at the PBE-GGA level of DFT.

Unit cell a=5.6955 b=5.6955 c=5.6955 alpha=41.88 beta=41.88 gamma=41.88
Closest atoms and distances in Å follow each position.
Sites, in units of the cell vectors:
Sr  0.7500  0.7500  0.7500  8 P 3.08-3.16
P  0.5519  0.5519  0.5519  3 Be 2.40, 3 P 2.55
P  0.9481  0.9481  0.9481  3 Be 2.40, 3 P 2.55
Be  0.2500  0.2500  0.2500  6 P 2.40

space-group type = No. 166

---

Computed, not measured: a relaxed structure of SrBe2P2 at the PBE-GGA level of DFT.

Unit cell a=6.0811 b=6.0811 c=6.0784 alpha=110.43 beta=110.43 gamma=107.60
Closest atoms and distances in Å follow each position.
Sites, in units of the cell vectors:
Be  0.2471  0.9970  0.4941  4 P 2.23-2.24
Sr  0.8750  0.6250  0.7500  6 P 3.06-3.10, 4 Be 3.27
P  0.4366  0.0634  0.2500  4 Be 2.23-2.24
Be  0.4970  0.7471  0.9941  4 P 2.23-2.24
Be  0.7529  0.0030  0.5059  4 P 2.23-2.24
Be  0.5030  0.2529  0.0059  4 P 2.23-2.24
P  0.5634  0.9366  0.7500  4 Be 2.23-2.24
Sr  0.1250  0.3750  0.2500  6 P 3.06-3.10, 4 Be 3.27
P  0.8134  0.6866  0.2500  4 Be 2.23-2.24
P  0.1866  0.3134  0.7500  4 Be 2.23-2.24

space-group type = No. 70

---

Computed, not measured: a relaxed structure of SrBeP2 at the PBE-GGA level of DFT.

Unit cell a=3.4527 b=3.4527 c=6.2885 alpha=90.00 beta=90.00 gamma=89.98
Closest atoms and distances in Å follow each position.
Sites, in units of the cell vectors:
Be  0.5000  0.5000  0.8340  1 P 2.04
P  0.5000  0.5000  0.1589  1 Be 2.04
Sr  0.0000  0.0000  0.4998  6 P 3.10-3.25, 4 Be 3.22, 4 Sr 3.45
P  0.0000  0.0000  0.0072  4 P 2.62, 4 Be 2.67

space-group type = No. 99

---

Computed, not measured: a relaxed structure of SrBeP2 at the PBE-GGA level of DFT.

Unit cell a=4.9943 b=4.9943 c=4.9943 alpha=134.94 beta=102.77 gamma=94.17
Closest atoms and distances in Å follow each position.
Sites, in units of the cell vectors:
Sr  0.7500  0.2500  0.5000  8 P 2.97-3.32
P  0.4169  0.4169  0.0000  2 Be 2.22, 1 P 2.27
Be  0.2500  0.7500  0.5000  4 P 2.22
P  0.0831  0.0831  0.0000  2 Be 2.22, 1 P 2.27

space-group type = No. 71

---

Computed, not measured: a relaxed structure of SrBeP2 at the PBE-GGA level of DFT.

Unit cell a=4.3234 b=4.3235 c=3.9982 alpha=90.00 beta=90.00 gamma=90.00
Closest atoms and distances in Å follow each position.
Sites, in units of the cell vectors:
P  0.0000  0.0000  0.0000  4 Sr 2.94, 4 Be 2.94, 4 P 3.06
Be  0.0000  0.5000  0.5000  8 P 2.94, 4 Sr 3.06
Sr  0.5000  0.0000  0.5000  8 P 2.94, 4 Be 3.06
P  0.5000  0.5000  0.0000  4 Be 2.94, 4 Sr 2.94, 4 P 3.06

space-group type = No. 123

---

Computed, not measured: a relaxed structure of SrBeP2 at the PBE-GGA level of DFT.

Unit cell a=4.3403 b=4.5613 c=4.3115 alpha=89.99 beta=90.00 gamma=90.00
Closest atoms and distances in Å follow each position.
Sites, in units of the cell vectors:
P  0.5000  0.9997  0.4302  2 Be 2.10-2.21
Be  0.5000  0.0001  0.9424  4 P 2.10-2.25
P  0.0000  0.0002  0.8077  2 Be 2.25
Sr  0.0000  0.5000  0.3197  8 P 3.10-3.18

space-group type = No. 25

---

| no. | ΔH_f (0 K) (eV per atom) | density of states at the Fermi level (states/eV per cell) |
| --- | --- | --- |
| 1 | -0.56 | 0.495 |
| 2 | -0.71 | 0.000 |
| 3 | 0.10 | 2.070 |
| 4 | -0.07 | 1.030 |
| 5 | -0.40 | 5.180 |
| 6 | 0.28 | 3.703 |
| 7 | -0.28 | 0.947 |
| 8 | -0.68 | 0.046 |
| 9 | 0.07 | 1.516 |
| 10 | -0.33 | 1.793 |
| 11 | 0.16 | 1.174 |
| 12 | -0.35 | 1.235 |